The following is a PBE-GGA calculation of Tb4DyTh4 after structural relaxation, from Alexandria via LeMat-Bulk.

Unit cell a=7.964 b=7.964 c=7.964 alpha=95.80 beta=95.80 gamma=142.93
Positions (direct):
Tb1 0.000 0.328 0.328
Tb2 0.000 0.672 0.672
Tb3 0.328 0.000 0.328
Tb4 0.672 0.000 0.672
Dy1 0.000 0.000 0.000
Th1 0.334 0.334 0.668
Th2 0.334 0.666 0.000
Th3 0.666 0.334 0.000
Th4 0.666 0.666 0.332

## Properties
The formation energy from the elements is 47.7 meV per atom. The calculation puts the total magnetic moment at 0.000 μB per formula unit. As for the density of states at the Fermi level: 14.03 states/eV/cell.

The following is a PBE-GGA calculation of Tb3Dy12Th after structural relaxation, from Alexandria via LeMat-Bulk.

Unit cell a=5.022 b=5.022 c=20.043 alpha=90.00 beta=90.00 gamma=90.00
Positions (direct):
Tb1 0.000 0.000 0.000
Tb2 0.000 0.000 0.250
Tb3 0.000 0.000 0.750
Dy1 0.000 0.500 0.125
Dy2 0.000 0.500 0.376
Dy3 0.000 0.500 0.624
Dy4 0.000 0.500 0.875
Dy5 0.500 0.000 0.125
Dy6 0.500 0.000 0.376
Dy7 0.500 0.000 0.624
Dy8 0.500 0.000 0.875
Dy9 0.500 0.500 0.000
Dy10 0.500 0.500 0.249
Dy11 0.500 0.500 0.500
Dy12 0.500 0.500 0.751
Th1 0.000 0.000 0.500

## Properties
The formation energy from the elements is 22.7 meV per atom. The calculation puts the total magnetic moment at 0.001 μB per formula unit. As for the density of states at the Fermi level: 21.76 states/eV/cell.

The following is a PBE-GGA calculation of Tb4DyTh2 after structural relaxation, from Alexandria via LeMat-Bulk.

Unit cell a=3.577 b=7.936 c=8.753 alpha=68.46 beta=89.92 gamma=77.00
Positions (direct):
Tb1 0.077 0.347 0.219
Tb2 0.355 0.791 0.072
Tb3 0.645 0.209 0.928
Tb4 0.923 0.653 0.781
Dy1 0.500 0.500 0.500
Th1 0.214 0.072 0.640
Th2 0.786 0.928 0.360

## Properties
As for the offset from the most stable computed form: 0.006 eV per atom. The formation energy from the elements is 27.9 meV per atom. The calculation puts the total magnetic moment at 0.000 μB per formula unit. As for the density of states at the Fermi level: 9.61 states/eV/cell.

The following is a PBE-GGA calculation of Tb2Dy5Th after structural relaxation, from Alexandria via LeMat-Bulk.

Unit cell a=7.101 b=14.226 c=5.030 alpha=90.00 beta=90.00 gamma=90.00
Positions (direct):
Tb1 0.245 0.123 0.000
Tb2 0.255 0.623 0.000
Tb3 0.745 0.377 0.000
Tb4 0.755 0.877 0.000
Dy1 0.000 0.249 0.500
Dy2 0.000 0.500 0.500
Dy3 0.000 0.751 0.500
Dy4 0.245 0.877 0.000
Dy5 0.255 0.377 0.000
Dy6 0.500 0.000 0.500
Dy7 0.500 0.251 0.500
Dy8 0.500 0.749 0.500
Dy9 0.745 0.623 0.000
Dy10 0.755 0.123 0.000
Th1 0.000 0.000 0.500
Th2 0.500 0.500 0.500

## Properties
The formation energy from the elements is 25.3 meV per atom. The calculation puts the total magnetic moment at 0.000 μB per formula unit. As for the density of states at the Fermi level: 22.38 states/eV/cell.

> Which value of total magnetic moment does entry 1 give?

0.000 μB per formula unit

> Which formula does entry 3 have?

Tb4DyTh2